1.
The following is a PBE calculation of a relaxed CsLiMg2Cd crystal, from Alexandria via LeMat-Bulk. Values from VASP.

Properties
Space-group type = P4/mmm (123)

Quantum ESPRESSO input file:
```
&SYSTEM
  ibrav = 0, nat = 5, ntyp = 4
/
ATOMIC_SPECIES
Mg 24.30 Mg.upf
Li 6.94 Li.upf
Cd 112.41 Cd.upf
Cs 132.91 Cs.upf
CELL_PARAMETERS angstrom
-0.089 -0.682 -5.483
4.096 -3.633 0.385
-3.677 -4.085 0.568
ATOMIC_POSITIONS angstrom
Mg -1.839 -2.043 0.284
Mg -0.044 -0.341 -2.741
Li 0.000 0.000 0.000
Cd 2.048 -1.816 0.193
Cs 0.165 -4.200 -2.265
```

2.
The following is a PBE calculation of a relaxed CsNa2LiCd crystal, from Alexandria via LeMat-Bulk. Values from VASP.

Properties
Space-group type = P4/mmm (123)

Quantum ESPRESSO input file:
```
&SYSTEM
  ibrav = 0, nat = 5, ntyp = 4
/
ATOMIC_SPECIES
Na 22.99 Na.upf
Cd 112.41 Cd.upf
Li 6.94 Li.upf
Cs 132.91 Cs.upf
CELL_PARAMETERS angstrom
-1.287 2.111 -5.645
-2.772 -5.332 -1.362
-4.892 2.062 1.887
ATOMIC_POSITIONS angstrom
Na -0.644 1.055 -2.822
Na -1.386 -2.666 -0.681
Cd 0.000 0.000 0.000
Li -2.446 1.031 0.943
Cs -4.476 -0.580 -2.560
```

3.
The following is a PBE calculation of a relaxed CsNa2LiCd crystal, from Alexandria via LeMat-Bulk. Values from VASP.

Properties
Space-group type = P4/mmm (123)

Quantum ESPRESSO input file:
```
&SYSTEM
  ibrav = 0, nat = 5, ntyp = 4
/
ATOMIC_SPECIES
Na 22.99 Na.upf
Li 6.94 Li.upf
Cs 132.91 Cs.upf
Cd 112.41 Cd.upf
CELL_PARAMETERS angstrom
6.038 0.000 0.000
0.000 6.038 0.000
0.000 0.000 5.607
ATOMIC_POSITIONS angstrom
Na 0.000 3.019 0.000
Na 3.019 0.000 0.000
Li 0.000 0.000 0.000
Cs 3.019 3.019 2.803
Cd 0.000 0.000 2.803
```

4.
The following is a PBE calculation of a relaxed CsNaLi2Cd crystal, from Alexandria via LeMat-Bulk. Values from VASP.

Properties
Space-group type = P4/mmm (123)

Quantum ESPRESSO input file:
```
&SYSTEM
  ibrav = 0, nat = 5, ntyp = 4
/
ATOMIC_SPECIES
Li 6.94 Li.upf
Cs 132.91 Cs.upf
Cd 112.41 Cd.upf
Na 22.99 Na.upf
CELL_PARAMETERS angstrom
-1.813 1.778 5.047
-4.237 -3.732 -0.207
3.526 -4.155 2.730
ATOMIC_POSITIONS angstrom
Li -2.118 -1.866 -0.103
Li -0.906 0.889 2.524
Cs -1.262 -3.054 3.785
Cd 0.000 0.000 0.000
Na 1.763 -2.077 1.365
```

5.
The following is a PBE calculation of a relaxed CsNaLiCd2 crystal, from Alexandria via LeMat-Bulk. Values from VASP.

Properties
Space-group type = P4/mmm (123)

Quantum ESPRESSO input file:
```
&SYSTEM
  ibrav = 0, nat = 5, ntyp = 4
/
ATOMIC_SPECIES
Cs 132.91 Cs.upf
Cd 112.41 Cd.upf
Na 22.99 Na.upf
Li 6.94 Li.upf
CELL_PARAMETERS angstrom
-3.158 4.563 0.076
-4.563 -3.155 -0.166
-0.098 -0.165 5.832
ATOMIC_POSITIONS angstrom
Cs -3.909 0.622 2.871
Cd -2.282 -1.577 -0.083
Cd -1.579 2.282 0.038
Na -0.049 -0.082 2.916
Li 0.000 0.000 0.000
```

6.
The following is a PBE calculation of a relaxed Cs2LiCdP2 crystal, from Alexandria via LeMat-Bulk. Values from VASP.

Properties
Space-group type = Ibam (72)

Quantum ESPRESSO input file:
```
&SYSTEM
  ibrav = 0, nat = 12, ntyp = 4
/
ATOMIC_SPECIES
Cs 132.91 Cs.upf
Li 6.94 Li.upf
P 30.97 P.upf
Cd 112.41 Cd.upf
CELL_PARAMETERS angstrom
6.482 0.000 0.000
0.000 6.579 0.000
-3.241 -3.289 8.555
ATOMIC_POSITIONS angstrom
Cs 4.922 3.289 2.880
Cs -1.681 0.000 5.675
Cs 1.560 0.000 2.880
Cs 1.681 3.289 5.675
Li 0.000 4.934 0.000
Li 0.000 1.645 0.000
P -1.604 3.289 7.182
P 4.845 0.000 1.374
P 1.604 0.000 7.182
P 1.637 3.289 1.374
Cd 3.241 1.645 0.000
Cd 3.241 4.934 0.000
```

In eV per atom, the formation enthalpy at 0 K values for the records above are, in order, 0.19, 0.05, 0.06, 0.08, 0.03, -0.32.
In eV/atom, the uncorrected energy values for the records above are, in order, -1.183, -1.209, -1.207, -1.306, -1.154, -2.878.
In g cm⁻³, the theoretical density values for the records above are, in order, 2.982, 2.315, 2.423, 2.409, 3.582, 4.070.